[1]
# Bi4SbI PBE relaxed
data_Bi4SbI
_cell_length_a 6.703
_cell_length_b 7.022
_cell_length_c 10.364
_cell_angle_alpha 103.77
_cell_angle_beta 108.87
_cell_angle_gamma 90.00
_space_group_name_H-M_alt 'P 1'
_space_group_IT_number 1
_space_group_name_Hall 'P 1'
loop_
_atom_site_label
_atom_site_fract_x
_atom_site_fract_y
_atom_site_fract_z
Bi1 0.690 0.123 0.827
Bi2 0.863 0.377 0.173
Bi3 0.310 0.877 0.173
Bi4 0.137 0.623 0.827
Bi5 0.005 0.957 0.670
Bi6 0.335 0.543 0.330
Bi7 0.995 0.043 0.330
Bi8 0.665 0.457 0.670
Sb1 0.500 0.000 0.500
Sb2 0.000 0.500 0.500
I1 0.684 0.750 0.000
I2 0.316 0.250 0.000
# Formation energy (no corrections): 0.13 eV/atom
# SG: No. 15

[2]
# HfAl3Zn4 PBE relaxed
data_HfAl3Zn4
_cell_length_a 3.112
_cell_length_b 6.597
_cell_length_c 7.710
_cell_angle_alpha 115.33
_cell_angle_beta 101.64
_cell_angle_gamma 90.00
_space_group_name_H-M_alt 'P 1'
_space_group_IT_number 1
_space_group_name_Hall 'P 1'
loop_
_atom_site_label
_atom_site_fract_x
_atom_site_fract_y
_atom_site_fract_z
Zn1 0.354 0.542 0.708
Zn2 0.646 0.458 0.292
Zn3 0.646 0.834 0.292
Zn4 0.354 0.166 0.708
Hf1 0.500 0.000 0.000
Al1 0.182 0.182 0.365
Al2 0.818 0.818 0.635
Al3 0.000 0.500 0.000
# ΔH_f (0 K): 31 meV/atom
# SG: No. 71

no.,VASP energy (eV per cell)
1,-40.81
2,-26.03